DFT (PBE with a Hubbard U) results for a relaxed KPrFeO3 crystal.

The structure in POSCAR format:
```
KPrFeO3
1.0
7.508 0.000 0.000
0.000 3.768 0.000
-2.736 0.000 8.958
K Pr Fe O
2 2 2 6
Cartesian
0.886 0.942 1.371
3.885 2.826 7.588
0.210 2.826 7.631
4.562 0.942 1.327
-1.455 0.942 5.590
6.227 2.826 3.368
-0.775 2.826 5.357
-1.430 0.942 7.574
3.048 2.826 1.038
1.724 0.942 7.920
6.202 2.826 1.384
5.546 0.942 3.602
```

## Properties
E_tot = -78.13 eV for the cell shown
total moment = 0.664 μB/atom